LuCuB2, optimized geometry, DFT PBE; crystal system = cubic
1.0
5.826 0.000 0.000
0.000 5.826 0.000
0.000 0.000 5.826
Lu Cu B
4 4 8
Cartesian
0.000 0.000 0.000 Lu
0.000 2.913 2.913 Lu
2.913 0.000 2.913 Lu
2.913 2.913 0.000 Lu
1.457 1.457 1.457 Cu
1.457 4.370 4.370 Cu
4.370 1.457 4.370 Cu
4.370 4.370 1.457 Cu
0.000 0.000 2.913 B
0.000 2.913 0.000 B
1.457 1.457 4.370 B
1.457 4.370 1.457 B
2.913 0.000 0.000 B
2.913 2.913 2.913 B
4.370 1.457 1.457 B
4.370 4.370 4.370 B

TbY2In3AgPt2, optimized geometry, DFT PBE; crystal system = orthorhombic
1.0
3.777 0.000 0.000
0.000 6.783 3.921
0.000 -6.783 3.921
Tb Y In Ag Pt
1 2 3 1 2
Cartesian
0.000 0.000 0.000 Tb
0.000 -2.773 3.030 Y
0.000 2.773 3.030 Y
1.888 0.000 2.526 In
1.888 -1.825 5.686 In
1.888 1.825 5.686 In
0.000 0.000 4.633 Ag
1.888 -4.525 4.631 Pt
1.888 4.525 4.631 Pt

Mg2GeW, optimized geometry, DFT PBE; crystal system = cubic
1.0
6.485 0.000 0.000
0.000 6.485 0.000
0.000 0.000 6.485
Mg Ge W
8 4 4
Cartesian
0.000 0.000 0.000 Mg
0.000 3.243 3.243 Mg
1.621 1.621 1.621 Mg
1.621 4.864 4.864 Mg
3.243 0.000 3.243 Mg
3.243 3.243 0.000 Mg
4.864 1.621 4.864 Mg
4.864 4.864 1.621 Mg
0.000 0.000 3.243 Ge
0.000 3.243 0.000 Ge
3.243 0.000 0.000 Ge
3.243 3.243 3.243 Ge
1.621 1.621 4.864 W
1.621 4.864 1.621 W
4.864 1.621 1.621 W
4.864 4.864 4.864 W

Ρ: 8.7 9.7 7.4 (g/cm³)
Total magnetic moment: 0.00 0.01 0.00 (μB/f.u.)
Electronic total energy: -4.63 -5.35 -4.67 (eV/atom)